1.
# Ca3Ga2AgAu6

Ca3Ga2AgAu6 after structural relaxation (GGA-PBE, Alexandria via LeMat-Bulk).

Computed properties:
Crystal system ... trigonal
Mass density ... 9.48 Mg/m³
Final energy ... -3.31 eV/atom
E_form ... -429 meV/atom

Unit cell a=5.741 b=5.741 c=9.513 alpha=90.00 beta=90.00 gamma=120.00
Element x y z (fractional)
1 Ca 0.000 0.000 0.000
2 Ca 0.333 0.667 0.606
3 Ca 0.667 0.333 0.394
4 Ga 0.333 0.667 0.021
5 Ga 0.667 0.333 0.979
6 Ag 0.000 0.000 0.500
7 Au 0.170 0.340 0.265
8 Au 0.170 0.830 0.265
9 Au 0.340 0.170 0.735
10 Au 0.660 0.830 0.265
11 Au 0.830 0.170 0.735
12 Au 0.830 0.660 0.735



2.
# KLiTa2

KLiTa2 after structural relaxation (GGA-PBE, Alexandria via LeMat-Bulk).

Computed properties:
Crystal system ... tetragonal
Mass density ... 7.45 Mg/m³
Final energy ... -5.51 eV/atom
E_form ... 1168 meV/atom

Unit cell a=6.647 b=6.647 c=6.647 alpha=146.11 beta=146.11 gamma=48.69
Element x y z (fractional)
1 K 0.000 0.000 0.000
2 Li 0.500 0.500 0.000
3 Ta 0.250 0.750 0.500
4 Ta 0.750 0.250 0.500



3.
# VCoIr6

VCoIr6 after structural relaxation (GGA-PBE, Alexandria via LeMat-Bulk).

Computed properties:
Crystal system ... tetragonal
Mass density ... 18.77 Mg/m³
Final energy ... -8.88 eV/atom
E_form ... -210 meV/atom

Unit cell a=5.412 b=5.412 c=3.816 alpha=90.00 beta=90.00 gamma=90.00
Element x y z (fractional)
1 V 0.000 0.000 0.000
2 Co 0.500 0.500 0.000
3 Ir 0.000 0.500 0.000
4 Ir 0.251 0.251 0.500
5 Ir 0.251 0.749 0.500
6 Ir 0.500 0.000 0.000
7 Ir 0.749 0.251 0.500
8 Ir 0.749 0.749 0.500



4.
# CaAc3Rh3

CaAc3Rh3 after structural relaxation (GGA-PBE, Alexandria via LeMat-Bulk).

Computed properties:
Crystal system ... monoclinic
Mass density ... 8.50 Mg/m³
Final energy ... -5.70 eV/atom
E_form ... -498 meV/atom

Unit cell a=7.272 b=7.272 c=7.717 alpha=90.32 beta=90.32 gamma=99.74
Element x y z (fractional)
1 Ca 0.248 0.248 0.152
2 Ca 0.752 0.752 0.848
3 Ac 0.183 0.817 0.500
4 Ac 0.236 0.764 0.000
5 Ac 0.340 0.340 0.670
6 Ac 0.660 0.660 0.330
7 Ac 0.764 0.236 0.000
8 Ac 0.817 0.183 0.500
9 Rh 0.012 0.488 0.741
10 Rh 0.062 0.062 0.804
11 Rh 0.488 0.012 0.741
12 Rh 0.512 0.988 0.259
13 Rh 0.938 0.938 0.196
14 Rh 0.988 0.512 0.259



5.
# Sb2TePtBr

Sb2TePtBr after structural relaxation (GGA-PBE, Alexandria via LeMat-Bulk).

Computed properties:
Crystal system ... tetragonal
Mass density ... 6.72 Mg/m³
Final energy ... -2.46 eV/atom

Unit cell a=5.389 b=5.389 c=5.500 alpha=90.00 beta=90.00 gamma=90.00
Element x y z (fractional)
1 Sb 0.000 0.500 0.000
2 Sb 0.500 0.000 0.000
3 Te 0.000 0.000 0.500
4 Pt 0.500 0.500 0.500
5 Br 0.000 0.000 0.000



6.
# Si2OsCl

Si2OsCl after structural relaxation (GGA-PBE, Alexandria via LeMat-Bulk).

Computed properties:
Crystal system ... orthorhombic
Mass density ... 7.95 Mg/m³
Final energy ... -5.32 eV/atom

Unit cell a=4.555 b=4.555 c=2.929 alpha=90.00 beta=90.00 gamma=104.27
Element x y z (fractional)
1 Si 0.000 0.500 0.000
2 Si 0.500 0.000 0.000
3 Os 0.000 0.000 0.500
4 Cl 0.500 0.500 0.500



7.
# DyPaAl

DyPaAl after structural relaxation (GGA-PBE, Alexandria via LeMat-Bulk).

Computed properties:
Crystal system ... trigonal
Mass density ... 10.05 Mg/m³
Final energy ... -5.77 eV/atom
E_form ... 182 meV/atom

Unit cell a=5.161 b=5.161 c=3.012 alpha=90.00 beta=90.00 gamma=120.00
Element x y z (fractional)
1 Dy 0.000 0.000 0.000
2 Pa 0.333 0.667 0.998
3 Al 0.667 0.333 0.498



8.
# BaSNO2

BaSNO2 after structural relaxation (GGA-PBE, Alexandria via LeMat-Bulk).

Computed properties:
Crystal system ... tetragonal
Mass density ... 2.65 Mg/m³
Final energy ... -3.78 eV/atom

Unit cell a=4.946 b=4.946 c=5.527 alpha=90.00 beta=90.00 gamma=90.00
Element x y z (fractional)
1 Ba 0.000 0.000 0.000
2 S 0.500 0.500 0.500
3 N 0.000 0.000 0.500
4 O 0.000 0.500 0.000
5 O 0.500 0.000 0.000



9.
# ZrP2HO

ZrP2HO after structural relaxation (GGA-PBE, Alexandria via LeMat-Bulk).

Computed properties:
Crystal system ... tetragonal
Mass density ... 4.49 Mg/m³
Final energy ... -5.64 eV/atom

Unit cell a=3.800 b=3.800 c=4.362 alpha=90.00 beta=90.00 gamma=90.00
Element x y z (fractional)
1 Zr 0.000 0.000 0.000
2 P 0.000 0.500 0.500
3 P 0.500 0.000 0.500
4 H 0.500 0.500 0.000
5 O 0.500 0.500 0.500



10.
# LaB2Rh

LaB2Rh after structural relaxation (GGA-PBE, Alexandria via LeMat-Bulk).

Computed properties:
Crystal system ... cubic
Mass density ... 7.57 Mg/m³
Final energy ... -6.04 eV/atom
E_form ... 364 meV/atom

Unit cell a=4.340 b=4.340 c=4.340 alpha=60.00 beta=60.00 gamma=60.00
Element x y z (fractional)
1 La 0.000 0.000 0.000
2 B 0.250 0.250 0.250
3 B 0.750 0.750 0.750
4 Rh 0.500 0.500 0.500



11.
# CeZnPt6

CeZnPt6 after structural relaxation (GGA-PBE, Alexandria via LeMat-Bulk).

Computed properties:
Crystal system ... tetragonal
Mass density ... 15.34 Mg/m³
Final energy ... -5.88 eV/atom
E_form ... -446 meV/atom

Unit cell a=3.883 b=3.883 c=9.883 alpha=90.00 beta=90.00 gamma=90.00
Element x y z (fractional)
1 Ce 0.000 0.000 0.000
2 Zn 0.000 0.000 0.500
3 Pt 0.000 0.500 0.324
4 Pt 0.000 0.500 0.676
5 Pt 0.500 0.000 0.324
6 Pt 0.500 0.000 0.676
7 Pt 0.500 0.500 0.131
8 Pt 0.500 0.500 0.869



12.
# YInRu

YInRu after structural relaxation (GGA-PBE, Alexandria via LeMat-Bulk).

Computed properties:
Crystal system ... tetragonal
Mass density ... 7.10 Mg/m³
Final energy ... -6.38 eV/atom
E_form ... -220 meV/atom

Unit cell a=4.722 b=4.722 c=6.394 alpha=90.00 beta=90.00 gamma=90.00
Element x y z (fractional)
1 Y 0.000 0.500 0.000
2 Y 0.500 0.000 0.500
3 In 0.000 0.500 0.500
4 In 0.500 0.000 0.000
5 Ru 0.000 0.000 0.250
6 Ru 0.000 0.000 0.750



13.
# Ac4YSe6

Ac4YSe6 after structural relaxation (GGA-PBE, Alexandria via LeMat-Bulk).

Computed properties:
Crystal system ... trigonal
Mass density ... 7.49 Mg/m³
Final energy ... -5.84 eV/atom

Unit cell a=8.673 b=8.673 c=8.673 alpha=90.42 beta=90.42 gamma=90.42
Element x y z (fractional)
1 Ac 0.130 0.750 0.370
2 Ac 0.250 0.250 0.250
3 Ac 0.250 0.630 0.870
4 Ac 0.370 0.130 0.750
5 Ac 0.630 0.870 0.250
6 Ac 0.750 0.370 0.130
7 Ac 0.750 0.750 0.750
8 Ac 0.870 0.250 0.630
9 Y 0.000 0.000 0.000
10 Y 0.500 0.500 0.500
11 Se 0.062 0.919 0.689
12 Se 0.081 0.311 0.938
13 Se 0.189 0.419 0.562
14 Se 0.311 0.938 0.081
15 Se 0.419 0.562 0.189
16 Se 0.438 0.811 0.581
17 Se 0.562 0.189 0.419
18 Se 0.581 0.438 0.811
19 Se 0.689 0.062 0.919
20 Se 0.811 0.581 0.438
21 Se 0.919 0.689 0.062
22 Se 0.938 0.081 0.311



14.
# LiGaSiAu

LiGaSiAu after structural relaxation (GGA-PBE, Alexandria via LeMat-Bulk).

Computed properties:
Crystal system ... cubic
Mass density ... 7.75 Mg/m³
Final energy ... -3.53 eV/atom

Unit cell a=4.504 b=4.504 c=4.504 alpha=60.00 beta=60.00 gamma=60.00
Element x y z (fractional)
1 Li 0.000 0.000 0.000
2 Ga 0.750 0.750 0.750
3 Si 0.500 0.500 0.500
4 Au 0.250 0.250 0.250



15.
# Hf2Hg2Se

Hf2Hg2Se after structural relaxation (GGA-PBE, Alexandria via LeMat-Bulk).

Computed properties:
Crystal system ... tetragonal
Mass density ... 12.44 Mg/m³
Final energy ... -5.19 eV/atom

Unit cell a=6.941 b=6.941 c=4.638 alpha=90.00 beta=90.00 gamma=90.00
Element x y z (fractional)
1 Hf 0.159 0.341 0.000
2 Hf 0.341 0.841 0.000
3 Hf 0.659 0.159 0.000
4 Hf 0.841 0.659 0.000
5 Hg 0.152 0.652 0.500
6 Hg 0.348 0.152 0.500
7 Hg 0.652 0.848 0.500
8 Hg 0.848 0.348 0.500
9 Se 0.000 0.000 0.000
10 Se 0.500 0.500 0.000



16.
# LiLa2RuO5

LiLa2RuO5 after structural relaxation (GGA-PBE, Alexandria via LeMat-Bulk).

Computed properties:
Crystal system ... tetragonal
Mass density ... 5.48 Mg/m³
Final energy ... -7.34 eV/atom

Unit cell a=6.967 b=6.967 c=5.812 alpha=90.00 beta=90.00 gamma=90.00
Element x y z (fractional)
1 Li 0.000 0.000 0.000
2 Li 0.500 0.500 0.000
3 La 0.179 0.321 0.500
4 La 0.321 0.821 0.500
5 La 0.679 0.179 0.500
6 La 0.821 0.679 0.500
7 Ru 0.000 0.500 0.000
8 Ru 0.500 0.000 0.000
9 O 0.000 0.000 0.500
10 O 0.134 0.634 0.245
11 O 0.134 0.634 0.755
12 O 0.366 0.134 0.245
13 O 0.366 0.134 0.755
14 O 0.500 0.500 0.500
15 O 0.634 0.866 0.245
16 O 0.634 0.866 0.755
17 O 0.866 0.366 0.245
18 O 0.866 0.366 0.755



17.
# Ac4Mg2H

Ac4Mg2H after structural relaxation (GGA-PBE, Alexandria via LeMat-Bulk).

Computed properties:
Crystal system ... tetragonal
Mass density ... 6.51 Mg/m³
Final energy ... -3.27 eV/atom

Unit cell a=9.586 b=9.586 c=9.586 alpha=148.16 beta=148.16 gamma=45.65
Element x y z (fractional)
1 Ac 0.000 0.500 0.500
2 Ac 0.175 0.175 0.000
3 Ac 0.500 0.000 0.500
4 Ac 0.825 0.825 0.000
5 Mg 0.369 0.369 0.000
6 Mg 0.631 0.631 0.000
7 H 0.000 0.000 0.000



18.
# CeIn2Pt2

CeIn2Pt2 after structural relaxation (GGA-PBE, Alexandria via LeMat-Bulk).

Computed properties:
Crystal system ... monoclinic
Mass density ... 11.87 Mg/m³
Final energy ... -5.48 eV/atom
E_form ... -778 meV/atom

Unit cell a=10.300 b=4.458 c=10.398 alpha=90.00 beta=117.06 gamma=90.00
Element x y z (fractional)
1 Ce 0.046 0.250 0.294
2 Ce 0.401 0.250 0.209
3 Ce 0.599 0.750 0.791
4 Ce 0.954 0.750 0.706
5 In 0.116 0.750 0.072
6 In 0.230 0.750 0.601
7 In 0.355 0.750 0.946
8 In 0.407 0.250 0.536
9 In 0.593 0.750 0.464
10 In 0.645 0.250 0.054
11 In 0.770 0.250 0.399
12 In 0.884 0.250 0.928
13 Pt 0.068 0.250 0.604
14 Pt 0.160 0.250 0.920
15 Pt 0.290 0.750 0.360
16 Pt 0.381 0.250 0.794
17 Pt 0.619 0.750 0.206
18 Pt 0.710 0.250 0.640
19 Pt 0.840 0.750 0.080
20 Pt 0.932 0.750 0.396



19.
# Nd5Eu

Nd5Eu after structural relaxation (GGA-PBE, Alexandria via LeMat-Bulk).

Computed properties:
Crystal system ... orthorhombic
Mass density ... 6.71 Mg/m³
Final energy ... -5.65 eV/atom
E_form ... 38 meV/atom

Unit cell a=8.262 b=8.262 c=5.248 alpha=90.00 beta=90.00 gamma=142.89
Element x y z (fractional)
1 Nd 0.000 0.000 0.000
2 Nd 0.170 0.830 0.500
3 Nd 0.330 0.670 0.000
4 Nd 0.670 0.330 0.000
5 Nd 0.830 0.170 0.500
6 Eu 0.500 0.500 0.500



20.
# RbBa8Rh2

RbBa8Rh2 after structural relaxation (GGA-PBE, Alexandria via LeMat-Bulk).

Computed properties:
Crystal system ... monoclinic
Mass density ... 3.93 Mg/m³
Final energy ... -2.88 eV/atom
E_form ... -55 meV/atom

Unit cell a=10.458 b=10.458 c=7.543 alpha=97.32 beta=97.32 gamma=45.91
Element x y z (fractional)
1 Rb 0.000 0.000 0.000
2 Ba 0.098 0.602 0.602
3 Ba 0.213 0.213 0.920
4 Ba 0.398 0.902 0.398
5 Ba 0.419 0.419 0.185
6 Ba 0.581 0.581 0.815
7 Ba 0.602 0.098 0.602
8 Ba 0.787 0.787 0.080
9 Ba 0.902 0.398 0.398
10 Rh 0.276 0.276 0.319
11 Rh 0.724 0.724 0.681



21.
# Te2MoAu

Te2MoAu after structural relaxation (GGA-PBE, Alexandria via LeMat-Bulk).

Computed properties:
Crystal system ... orthorhombic
Mass density ... 8.94 Mg/m³
Final energy ... -4.54 eV/atom

Unit cell a=5.742 b=5.105 c=5.096 alpha=68.52 beta=55.82 gamma=55.67
Element x y z (fractional)
1 Te 0.000 0.500 0.500
2 Te 0.500 0.000 0.000
3 Mo 0.000 0.000 0.000
4 Au 0.500 0.500 0.500



22.
# Pr2AsBr

Pr2AsBr after structural relaxation (GGA-PBE, Alexandria via LeMat-Bulk).

Computed properties:
Crystal system ... trigonal
Mass density ... 6.18 Mg/m³
Final energy ... -5.39 eV/atom

Unit cell a=8.013 b=8.013 c=8.013 alpha=30.47 beta=30.47 gamma=30.47
Element x y z (fractional)
1 Pr 0.000 0.000 0.000
2 Pr 0.193 0.193 0.193
3 As 0.598 0.598 0.598
4 Br 0.429 0.429 0.429



23.
# Hg3GePd

Hg3GePd after structural relaxation (GGA-PBE, Alexandria via LeMat-Bulk).

Computed properties:
Crystal system ... cubic
Mass density ... 9.24 Mg/m³
Final energy ... -1.55 eV/atom
E_form ... 590 meV/atom

Unit cell a=5.196 b=5.196 c=5.196 alpha=90.00 beta=90.00 gamma=90.00
Element x y z (fractional)
1 Hg 0.000 0.000 0.500
2 Hg 0.000 0.500 0.000
3 Hg 0.500 0.000 0.000
4 Ge 0.000 0.000 0.000
5 Pd 0.500 0.500 0.500



24.
# Er5Hg2O

Er5Hg2O after structural relaxation (GGA-PBE, Alexandria via LeMat-Bulk).

Computed properties:
Crystal system ... orthorhombic
Mass density ... 9.17 Mg/m³
Final energy ... -4.29 eV/atom

Unit cell a=10.080 b=10.080 c=12.640 alpha=90.00 beta=90.00 gamma=159.29
Element x y z (fractional)
1 Er 0.077 0.923 0.604
2 Er 0.077 0.923 0.896
3 Er 0.300 0.700 0.250
4 Er 0.314 0.686 0.555
5 Er 0.314 0.686 0.945
6 Er 0.686 0.314 0.055
7 Er 0.686 0.314 0.445
8 Er 0.700 0.300 0.750
9 Er 0.923 0.077 0.104
10 Er 0.923 0.077 0.396
11 Hg 0.074 0.926 0.139
12 Hg 0.074 0.926 0.361
13 Hg 0.926 0.074 0.639
14 Hg 0.926 0.074 0.861
15 O 0.133 0.867 0.750
16 O 0.867 0.133 0.250